# PrYPuN3 GGA-PBE relaxed
# **Crystal system**: monoclinic
# **Spin magnetization**: 4.94 μB per formula unit
# **Raw total energy**: -114.983 eV per cell
# **DOS at the Fermi energy**: 15.1 states/eV per cell
data_PrYPuN3
_chemical_formula_sum 'Pr2 Y2 Pu2 N6'
_cell_length_a 3.591
_cell_length_b 7.157
_cell_length_c 10.154
_cell_angle_alpha 116.41
_cell_angle_beta 90.00
_cell_angle_gamma 90.00
_symmetry_space_group_name_H-M 'P 1'
_symmetry_Int_Tables_number 1
_symmetry_space_group_name_Hall 'P 1'
loop_
_atom_site_label
_atom_site_fract_x
_atom_site_fract_y
_atom_site_fract_z
Pu1 0.250 0.882 0.590
Pr1 0.750 0.779 0.868
N1 0.750 0.068 0.611
Pr2 0.250 0.221 0.132
N2 0.250 0.046 0.856
N3 0.750 0.447 0.118
Y1 0.750 0.301 0.861
N4 0.250 0.553 0.882
Pu2 0.750 0.118 0.410
Y2 0.250 0.699 0.139
N5 0.750 0.954 0.144
N6 0.250 0.932 0.389